The following is a PBE calculation of crystalline NdGa4Ir3 at its relaxed geometry, from the Alexandria database.

a b c (Å): 4.2140 4.2140 8.3776
angles (deg): 90.00 90.00 90.00
With the nearest neighbours (Å) after each atom.
Fractional positions:
Ir 0.0000 0.0000 0.0000  8 Ga 2.57
Ir 0.5000 0.5000 0.3486  1 Ir 2.54, 4 Ga 2.56
Ir 0.5000 0.5000 0.6514  1 Ir 2.54, 4 Ga 2.56
Nd 0.0000 0.0000 0.5000  8 Ir 3.24, 8 Ga 3.44
Ga 0.0000 0.5000 0.1752  4 Ir 2.56-2.57
Ga 0.0000 0.5000 0.8248  4 Ir 2.56-2.57
Ga 0.5000 0.0000 0.8248  4 Ir 2.56-2.57
Ga 0.5000 0.0000 0.1752  4 Ir 2.56-2.57

Values from the calculation:
calculated formation energy: -0.529 eV per atom
calculated volume: 18.60 Å³/atom
symmetry: No. 123

The following is a PBE calculation of crystalline Nd2Ga2Ir at its relaxed geometry, from the Alexandria database.

a b c (Å): 3.9468 4.3163 7.1662
angles (deg): 107.53 90.00 90.00
With the nearest neighbours (Å) after each atom.
Fractional positions:
Nd 0.0000 0.6804 0.3608  4 Ir 3.07, 6 Ga 3.10-3.38
Nd 0.0000 0.9411 0.8822  2 Ir 3.05, 4 Ga 3.05
Ga 0.5000 0.3043 0.6086  1 Ir 2.64, 1 Ga 2.74
Ga 0.5000 0.5050 0.0100  2 Ir 2.60, 1 Ga 2.74
Ir 0.5000 0.1113 0.2226  3 Ga 2.60-2.64

Values from the calculation:
calculated formation energy: -0.643 eV per atom
calculated volume: 23.28 Å³/atom
symmetry: No. 38

The following is a PBE calculation of crystalline Nd2Ga12Ir at its relaxed geometry, from the Alexandria database.

a b c (Å): 6.1307 6.1307 15.6541
angles (deg): 90.00 90.00 90.00
With the nearest neighbours (Å) after each atom.
Fractional positions:
Nd 0.5000 0.0000 0.2398  14 Ga 3.17-3.49
Nd 0.0000 0.5000 0.2398  14 Ga 3.17-3.49
Nd 0.0000 0.5000 0.7602  14 Ga 3.17-3.49
Nd 0.5000 0.0000 0.7602  14 Ga 3.17-3.49
Ga 0.5000 0.5000 0.8107  5 Ga 2.47-2.70
Ga 0.0000 0.0000 0.8107  5 Ga 2.47-2.70
Ga 0.7499 0.7501 0.9131  2 Ir 2.56, 3 Ga 2.70-2.72
Ga 0.2499 0.7499 0.9131  2 Ir 2.56, 3 Ga 2.70-2.72
Ga 0.0000 0.0000 0.3469  5 Ga 2.47-2.64
Ga 0.2501 0.7501 0.0869  2 Ir 2.56, 3 Ga 2.70-2.72
Ga 0.8315 0.3315 0.5685  3 Ga 2.57-2.64
Ga 0.5000 0.5000 0.3469  5 Ga 2.47-2.64
Ga 0.2501 0.2499 0.9131  2 Ir 2.56, 3 Ga 2.70-2.72
Ga 0.7501 0.7499 0.0869  2 Ir 2.56, 3 Ga 2.70-2.72
Ga 0.3315 0.1685 0.5685  3 Ga 2.57-2.64
Ga 0.6685 0.1685 0.4315  3 Ga 2.57-2.64
Ga 0.0000 0.0000 0.6531  5 Ga 2.47-2.64
Ga 0.1685 0.3315 0.4315  3 Ga 2.57-2.64
Ga 0.2499 0.2501 0.0869  2 Ir 2.56, 3 Ga 2.70-2.72
Ga 0.8315 0.6685 0.4315  3 Ga 2.57-2.64
Ga 0.6685 0.8315 0.5685  3 Ga 2.57-2.64
Ga 0.0000 0.0000 0.1893  5 Ga 2.47-2.70
Ga 0.1685 0.6685 0.5685  3 Ga 2.57-2.64
Ga 0.5000 0.5000 0.6531  5 Ga 2.47-2.64
Ga 0.7501 0.2501 0.9131  2 Ir 2.56, 3 Ga 2.70-2.72
Ga 0.5000 0.5000 0.1893  5 Ga 2.47-2.70
Ga 0.3315 0.8315 0.4315  3 Ga 2.57-2.64
Ga 0.7499 0.2499 0.0869  2 Ir 2.56, 3 Ga 2.70-2.72
Ir 0.5000 0.0000 0.0000  8 Ga 2.56
Ir 0.0000 0.5000 0.0000  8 Ga 2.56

Values from the calculation:
calculated formation energy: -0.433 eV per atom
calculated volume: 19.61 Å³/atom
symmetry: No. 125

The following is a PBE calculation of crystalline Nd2Ga2Ir at its relaxed geometry, from the Alexandria database.

a b c (Å): 4.2146 5.9770 10.1215
angles (deg): 90.98 77.98 69.36
With the nearest neighbours (Å) after each atom.
Fractional positions:
Nd 0.6689 0.3278 0.3344  7 Ga 3.12-3.38, 3 Ir 3.15-3.25
Nd 0.9311 0.2589 0.8789  2 Ir 3.04, 6 Ga 3.15-3.26
Nd 0.3311 0.6722 0.6656  7 Ga 3.12-3.38, 3 Ir 3.15-3.25
Nd 0.0689 0.7411 0.1211  2 Ir 3.04, 6 Ga 3.15-3.26
Ga 0.1110 0.2246 0.5535  3 Ir 2.54-2.68
Ga 0.6349 0.8431 0.8871  1 Ir 2.68, 1 Ga 2.70
Ga 0.8890 0.7754 0.4465  3 Ir 2.54-2.68
Ga 0.3651 0.1569 0.1129  1 Ir 2.68, 1 Ga 2.70
Ir 0.6196 0.0920 0.6687  4 Ga 2.54-2.68
Ir 0.3804 0.9080 0.3313  4 Ga 2.54-2.68

Values from the calculation:
calculated formation energy: -0.692 eV per atom
calculated volume: 23.22 Å³/atom
symmetry: No. 12

no.,total moment (μB per formula unit)
1,0.0
2,0.0
3,0.0
4,0.0